Density functional theory data (PBE) for an optimized crystal structure of Dy2Zn2GaPt5.

Lattice parameters (Å, degrees): 9.6486 9.6486 3.7538 90.00 90.00 90.00
Sites, in units of the cell vectors:
1 Dy 0.1751 0.3249 0.0000
2 Dy 0.3249 0.8249 0.0000
3 Dy 0.6751 0.1751 0.0000
4 Dy 0.8249 0.6751 0.0000
5 Zn 0.1235 0.6235 0.0000
6 Zn 0.3765 0.1235 0.0000
7 Zn 0.6235 0.8765 0.0000
8 Zn 0.8765 0.3765 0.0000
9 Ga 0.0000 0.0000 0.0000
10 Ga 0.5000 0.5000 0.0000
11 Pt 0.0000 0.5000 0.5000
12 Pt 0.0633 0.7983 0.5000
13 Pt 0.2017 0.0633 0.5000
14 Pt 0.2983 0.5633 0.5000
15 Pt 0.4367 0.2983 0.5000
16 Pt 0.5000 0.0000 0.5000
17 Pt 0.5633 0.7017 0.5000
18 Pt 0.7017 0.4367 0.5000
19 Pt 0.7983 0.9367 0.5000
20 Pt 0.9367 0.2017 0.5000

Summary:
Energy of formation from the pure elements, meV per atom: -842
Fermi-level density of states, states/eV per atom: 0.388